1.
An optimized crystal structure of TlOsC3. Source: the Alexandria database, functional PBE.

Results
The total energy is -6.397 eV per atom. As for the crystal system: cubic. The value obtained for the theoretical density is 10.4 g/cm³. The calculation puts the formation energy at 1.856 eV per atom. The value obtained for the density of states at the Fermi level is 4.17 states/eV per cell.

Unit cell a=4.0912 b=4.0912 c=4.0912 alpha=90.00 beta=90.00 gamma=90.00
With the nearest neighbours (Å) after each atom.
Space group Pm-3m (No. 221)
Symmetry-distinct sites (fractional):
Tl: 0.0000 0.0000 0.0000 [1 per cell]  12 C 2.89
Os: 0.5000 0.5000 0.5000 [1 per cell]  6 C 2.05
C: 0.0000 0.5000 0.5000 [3 per cell]  2 Os 2.05

=====

2.
An optimized crystal structure of USnAu. Source: the Alexandria database, functional PBE.

Results
The total energy is -6.430 eV per atom. As for the crystal system: orthorhombic. The value obtained for the theoretical density is 13.9 g/cm³. The calculation puts the formation energy at -0.241 eV per atom. The value obtained for the density of states at the Fermi level is 17.62 states/eV per cell.

Unit cell a=4.8215 b=5.9360 c=9.2555 alpha=90.00 beta=90.00 gamma=90.00
With the nearest neighbours (Å) after each atom.
Space group Immm (No. 71)
Symmetry-distinct sites (fractional):
U: 0.0000 0.2161 0.0000 [4 per cell]  1 U 2.57
Sn: 0.0000 0.5000 0.3125 [4 per cell]  4 Au 2.84-2.99
Au: 0.0000 0.0000 0.3486 [4 per cell]  1 Au 2.80, 4 Sn 2.84-2.99

=====

3.
An optimized crystal structure of DyTmGeS. Source: the Alexandria database, functional PBE.

Results
The total energy is -5.888 eV per atom. As for the crystal system: trigonal. The value obtained for the theoretical density is 7.9 g/cm³. The value obtained for the uncorrected formation energy is -5.7 eV/f.u. The value obtained for the density of states at the Fermi level is 4.16 states/eV per cell.

Unit cell a=4.0124 b=4.0124 c=19.7613 alpha=90.00 beta=90.00 gamma=120.00
With the nearest neighbours (Å) after each atom.
Space group R3m (No. 160, hexagonal axes)
Symmetry-distinct sites (fractional):
Dy: 0.0000 0.0000 0.0000 [3 per cell]  3 Ge 2.85, 3 S 2.86
Tm: 0.0000 0.0000 0.4993 [3 per cell]  3 Ge 2.83, 3 S 2.83
Ge: 0.0000 0.0000 0.7508 [3 per cell]  3 Tm 2.83, 3 Dy 2.85
S: 0.0000 0.0000 0.2483 [3 per cell]  3 Tm 2.83, 3 Dy 2.86

=====

4.
An optimized crystal structure of Cd3NiIr. Source: the Alexandria database, functional PBE.

Results
The total energy is -2.563 eV per atom. As for the crystal system: cubic. The value obtained for the theoretical density is 7.2 g/cm³. The calculation puts the formation energy at 0.915 eV per atom. The value obtained for the density of states at the Fermi level is 6.35 states/eV per cell.

Unit cell a=5.1304 b=5.1304 c=5.1304 alpha=90.00 beta=90.00 gamma=90.00
With the nearest neighbours (Å) after each atom.
Space group Pm-3m (No. 221)
Symmetry-distinct sites (fractional):
Cd: 0.0000 0.0000 0.5000 [3 per cell]  2 Ir 2.57
Ni: 0.5000 0.5000 0.5000 [1 per cell]  12 Cd 3.63
Ir: 0.0000 0.0000 0.0000 [1 per cell]  6 Cd 2.57